# 1
# PBE-GGA Pm8DyY3, optimized geometry
# E_form in eV per atom: 0.023
# DOS at the Fermi energy in states/eV per cell: 21.58
# Magnetic moment in μB/cell: 0.00
data_Pm8DyY3
_chemical_formula_sum 'Pm8 Dy1 Y3'
_symmetry_space_group_name_H-M 'P 1'
_symmetry_Int_Tables_number 1
_cell_length_a 6.3682
_cell_length_b 8.6036
_cell_length_c 8.6199
_cell_angle_alpha 84.99
_cell_angle_beta 68.36
_cell_angle_gamma 68.43
loop_
_symmetry_equiv_pos_as_xyz
'x,y,z'
loop_
_atom_site_label
_atom_site_type_symbol
_atom_site_fract_x
_atom_site_fract_y
_atom_site_fract_z
Pm1 Pm 0.0000 0.0000 0.0000
Pm2 Pm 0.0002 0.4993 0.4993
Pm3 Pm 0.3347 0.0850 0.5828
Pm4 Pm 0.3346 0.5841 0.0836
Pm5 Pm 0.6664 0.2515 0.7520
Pm6 Pm 0.6662 0.7525 0.2511
Pm7 Pm 0.6671 0.8335 0.8324
Pm8 Pm 0.6681 0.3329 0.3317
Dy1 Dy 0.3329 0.1665 0.1658
Y1 Y 0.0026 0.4183 0.9174
Y2 Y 0.0026 0.9184 0.4173
Y3 Y 0.3329 0.6664 0.6659

---

# 2
# PBE-GGA Pm12DyY5, optimized geometry
# E_form in eV per atom: 0.006
# DOS at the Fermi energy in states/eV per cell: 43.68
# Magnetic moment in μB/cell: 0.00
data_Pm12DyY5
_chemical_formula_sum 'Pm24 Dy2 Y10'
_symmetry_space_group_name_H-M 'C 1 2/m 1'
_symmetry_Int_Tables_number 12
_cell_length_a 6.2907
_cell_length_b 10.8926
_cell_length_c 17.7772
_cell_angle_alpha 90.00
_cell_angle_beta 96.78
_cell_angle_gamma 90.00
loop_
_symmetry_equiv_pos_as_xyz
'x,y,z'
'-x,-y,-z'
'-x,y,-z'
'x,-y,z'
'x+1/2,y+1/2,z'
'-x+1/2,-y+1/2,-z'
'-x+1/2,y+1/2,-z'
'x+1/2,-y+1/2,z'
loop_
_atom_site_label
_atom_site_type_symbol
_atom_site_fract_x
_atom_site_fract_y
_atom_site_fract_z
Pm1 Pm 0.1114 0.0000 0.3342
Pm2 Pm 0.1113 0.3333 0.3340
Pm3 Pm 0.2217 0.1662 0.1654
Pm4 Pm 0.2232 0.5000 0.1654
Dy1 Dy 0.0000 0.0000 0.0000
Y1 Y 0.0000 0.1666 0.5000
Y2 Y 0.0000 0.3333 0.0000
Y3 Y 0.0000 0.5000 0.5000

---

# 3
# PBE-GGA Pm3Dy2Y7, optimized geometry
# E_form in eV per atom: 0.233
# DOS at the Fermi energy in states/eV per cell: 20.37
# Magnetic moment in μB/cell: 1.06
# Offset from the most stable computed form in eV per atom: 0.147
data_Pm3Dy2Y7
_chemical_formula_sum 'Pm3 Dy2 Y7'
_symmetry_space_group_name_H-M 'P 1 2/m 1'
_symmetry_Int_Tables_number 10
_cell_length_a 3.6421
_cell_length_b 5.6169
_cell_length_c 20.6536
_cell_angle_alpha 90.00
_cell_angle_beta 95.06
_cell_angle_gamma 90.00
loop_
_symmetry_equiv_pos_as_xyz
'x,y,z'
'-x,-y,-z'
'-x,y,-z'
'x,-y,z'
loop_
_atom_site_label
_atom_site_type_symbol
_atom_site_fract_x
_atom_site_fract_y
_atom_site_fract_z
Pm1 Pm 0.0000 0.0000 0.0000
Pm2 Pm 0.3306 0.5000 0.6620
Dy1 Dy 0.1372 0.0000 0.2738
Y1 Y 0.0859 0.5000 0.1713
Y2 Y 0.2152 0.0000 0.4300
Y3 Y 0.4325 0.0000 0.8655
Y4 Y 0.5000 0.5000 0.0000

---

# 4
# PBE-GGA Pm2Dy3Y8, optimized geometry
# E_form in eV per atom: 0.243
# DOS at the Fermi energy in states/eV per cell: 50.07
# Magnetic moment in μB/cell: 0.00
# Offset from the most stable computed form in eV per atom: 0.099
data_Pm2Dy3Y8
_chemical_formula_sum 'Pm4 Dy6 Y16'
_symmetry_space_group_name_H-M 'C 1 2/m 1'
_symmetry_Int_Tables_number 12
_cell_length_a 20.5951
_cell_length_b 7.6344
_cell_length_c 5.6206
_cell_angle_alpha 90.00
_cell_angle_beta 90.02
_cell_angle_gamma 90.00
loop_
_symmetry_equiv_pos_as_xyz
'x,y,z'
'-x,-y,-z'
'-x,y,-z'
'x,-y,z'
'x+1/2,y+1/2,z'
'-x+1/2,-y+1/2,-z'
'-x+1/2,y+1/2,-z'
'x+1/2,-y+1/2,z'
loop_
_atom_site_label
_atom_site_type_symbol
_atom_site_fract_x
_atom_site_fract_y
_atom_site_fract_z
Pm1 Pm 0.2411 0.0000 0.4993
Dy1 Dy 0.0000 0.0000 0.5000
Dy2 Dy 0.0000 0.2847 0.0000
Y1 Y 0.1063 0.2875 0.5001
Y2 Y 0.1313 0.0000 0.9998
Y3 Y 0.1656 0.5000 0.0005

---

# 5
# PBE-GGA PmDy2Y, optimized geometry
# E_form in eV per atom: 0.138
# DOS at the Fermi energy in states/eV per cell: 38.82
# Magnetic moment in μB/cell: 0.00
# Offset from the most stable computed form in eV per atom: 0.123
data_PmDy2Y
_chemical_formula_sum 'Pm4 Dy8 Y4'
_symmetry_space_group_name_H-M 'F m -3 m'
_symmetry_Int_Tables_number 225
_symmetry_space_group_name_Hall '-F 4 2 3'
_cell_length_a 8.0695
_cell_length_b 8.0695
_cell_length_c 8.0695
_cell_angle_alpha 90.00
_cell_angle_beta 90.00
_cell_angle_gamma 90.00
loop_
_atom_site_label
_atom_site_type_symbol
_atom_site_fract_x
_atom_site_fract_y
_atom_site_fract_z
Pm1 Pm 0.0000 0.0000 0.0000
Dy1 Dy 0.2500 0.2500 0.2500
Y1 Y 0.0000 0.0000 0.5000

---

# 6
# PBE-GGA Pm3DyY, optimized geometry
# E_form in eV per atom: 0.041
# DOS at the Fermi energy in states/eV per cell: 29.85
# Magnetic moment in μB/cell: 0.00
# Offset from the most stable computed form in eV per atom: 0.021
data_Pm3DyY
_chemical_formula_sum 'Pm12 Dy4 Y4'
_symmetry_space_group_name_H-M 'C m c 21'
_symmetry_Int_Tables_number 36
_cell_length_a 5.5231
_cell_length_b 16.9670
_cell_length_c 7.1429
_cell_angle_alpha 90.00
_cell_angle_beta 90.00
_cell_angle_gamma 90.00
loop_
_symmetry_equiv_pos_as_xyz
'x,y,z'
'-x,-y,z+1/2'
'-x,y,z'
'x,-y,z+1/2'
'x+1/2,y+1/2,z'
'-x+1/2,-y+1/2,z+1/2'
'-x+1/2,y+1/2,z'
'x+1/2,-y+1/2,z+1/2'
loop_
_atom_site_label
_atom_site_type_symbol
_atom_site_fract_x
_atom_site_fract_y
_atom_site_fract_z
Pm1 Pm 0.0000 0.9998 0.0000
Pm2 Pm 0.0000 0.1996 0.4986
Pm3 Pm 0.0000 0.3916 0.2502
Dy1 Dy 0.0000 0.1991 0.9993
Y1 Y 0.0000 0.3912 0.7485

---

# 7
# PBE-GGA PmDy2Y7, optimized geometry
# E_form in eV per atom: 0.216
# DOS at the Fermi energy in states/eV per cell: 40.66
# Magnetic moment in μB/cell: 0.00
# Offset from the most stable computed form in eV per atom: 0.000
data_PmDy2Y7
_chemical_formula_sum 'Pm2 Dy4 Y14'
_symmetry_space_group_name_H-M 'C m m m'
_symmetry_Int_Tables_number 65
_symmetry_space_group_name_Hall '-C 2 2'
_cell_length_a 6.4782
_cell_length_b 29.5174
_cell_length_c 3.4553
_cell_angle_alpha 90.00
_cell_angle_beta 90.00
_cell_angle_gamma 90.00
loop_
_atom_site_label
_atom_site_type_symbol
_atom_site_fract_x
_atom_site_fract_y
_atom_site_fract_z
Pm1 Pm 0.0000 0.0000 0.0000
Dy1 Dy 0.0000 0.2072 0.5000
Y1 Y 0.0000 0.3101 0.0000
Y2 Y 0.0000 0.5000 0.5000
Y3 Y 0.2454 0.1006 0.5000

---

# 8
# PBE-GGA PmDy7Y3, optimized geometry
# E_form in eV per atom: 0.150
# DOS at the Fermi energy in states/eV per cell: 17.64
# Magnetic moment in μB/cell: 0.00
# Offset from the most stable computed form in eV per atom: 0.000
data_PmDy7Y3
_chemical_formula_sum 'Pm1 Dy7 Y3'
_symmetry_space_group_name_H-M 'P 1 2/m 1'
_symmetry_Int_Tables_number 10
_cell_length_a 6.9985
_cell_length_b 5.5542
_cell_length_c 9.9106
_cell_angle_alpha 90.00
_cell_angle_beta 110.39
_cell_angle_gamma 90.00
loop_
_symmetry_equiv_pos_as_xyz
'x,y,z'
'-x,-y,-z'
'-x,y,-z'
'x,-y,z'
loop_
_atom_site_label
_atom_site_type_symbol
_atom_site_fract_x
_atom_site_fract_y
_atom_site_fract_z
Pm1 Pm 0.0000 0.0000 0.0000
Dy1 Dy 0.0000 0.0000 0.5000
Dy2 Dy 0.1469 0.5000 0.7917
Dy3 Dy 0.3234 0.5000 0.1428
Dy4 Dy 0.4191 0.0000 0.3312
Y1 Y 0.2780 0.5000 0.4987
Y2 Y 0.5000 0.0000 0.0000

---

Copy entry 2 word for word.
# PBE-GGA Pm12DyY5, optimized geometry
# E_form in eV per atom: 0.006
# DOS at the Fermi energy in states/eV per cell: 43.68
# Magnetic moment in μB/cell: 0.00
data_Pm12DyY5
_chemical_formula_sum 'Pm24 Dy2 Y10'
_symmetry_space_group_name_H-M 'C 1 2/m 1'
_symmetry_Int_Tables_number 12
_cell_length_a 6.2907
_cell_length_b 10.8926
_cell_length_c 17.7772
_cell_angle_alpha 90.00
_cell_angle_beta 96.78
_cell_angle_gamma 90.00
loop_
_symmetry_equiv_pos_as_xyz
'x,y,z'
'-x,-y,-z'
'-x,y,-z'
'x,-y,z'
'x+1/2,y+1/2,z'
'-x+1/2,-y+1/2,-z'
'-x+1/2,y+1/2,-z'
'x+1/2,-y+1/2,z'
loop_
_atom_site_label
_atom_site_type_symbol
_atom_site_fract_x
_atom_site_fract_y
_atom_site_fract_z
Pm1 Pm 0.1114 0.0000 0.3342
Pm2 Pm 0.1113 0.3333 0.3340
Pm3 Pm 0.2217 0.1662 0.1654
Pm4 Pm 0.2232 0.5000 0.1654
Dy1 Dy 0.0000 0.0000 0.0000
Y1 Y 0.0000 0.1666 0.5000
Y2 Y 0.0000 0.3333 0.0000
Y3 Y 0.0000 0.5000 0.5000

---

Copy entry 2 word for word.
# PBE-GGA Pm12DyY5, optimized geometry
# E_form in eV per atom: 0.006
# DOS at the Fermi energy in states/eV per cell: 43.68
# Magnetic moment in μB/cell: 0.00
data_Pm12DyY5
_chemical_formula_sum 'Pm24 Dy2 Y10'
_symmetry_space_group_name_H-M 'C 1 2/m 1'
_symmetry_Int_Tables_number 12
_cell_length_a 6.2907
_cell_length_b 10.8926
_cell_length_c 17.7772
_cell_angle_alpha 90.00
_cell_angle_beta 96.78
_cell_angle_gamma 90.00
loop_
_symmetry_equiv_pos_as_xyz
'x,y,z'
'-x,-y,-z'
'-x,y,-z'
'x,-y,z'
'x+1/2,y+1/2,z'
'-x+1/2,-y+1/2,-z'
'-x+1/2,y+1/2,-z'
'x+1/2,-y+1/2,z'
loop_
_atom_site_label
_atom_site_type_symbol
_atom_site_fract_x
_atom_site_fract_y
_atom_site_fract_z
Pm1 Pm 0.1114 0.0000 0.3342
Pm2 Pm 0.1113 0.3333 0.3340
Pm3 Pm 0.2217 0.1662 0.1654
Pm4 Pm 0.2232 0.5000 0.1654
Dy1 Dy 0.0000 0.0000 0.0000
Y1 Y 0.0000 0.1666 0.5000
Y2 Y 0.0000 0.3333 0.0000
Y3 Y 0.0000 0.5000 0.5000